# 1
Material: Ac3Zn7Pd4
Method: DFT, PBE
State: optimized geometry

**Formation energy from the elements**: -749 kJ/mol of formula units

Cell: 16.259 4.351 9.672 Å, 90.00 121.05 90.00°
Space group C2/m (No. 12)
Unique sites:
Ac (0.000, 0.000, 0.000) (multiplicity 2)
Ac (0.203, 0.500, 0.686) (multiplicity 4)
Zn (0.000, 0.000, 0.500) (multiplicity 2)
Zn (0.005, 0.500, 0.698) (multiplicity 4)
Zn (0.116, 0.000, 0.390) (multiplicity 4)
Zn (0.180, 0.500, 0.013) (multiplicity 4)
Pd (0.117, 0.000, 0.824) (multiplicity 4)
Pd (0.143, 0.500, 0.260) (multiplicity 4)

# 2
Material: LuZnHgRh
Method: DFT, PBE
State: optimized geometry

**Formation energy from the elements**: -144 kJ/mol of formula units

Cell: 6.678 6.678 6.678 Å, 90.00 90.00 90.00°
Space group F-43m (No. 216)
Unique sites:
Lu (0.000, 0.000, 0.000) (multiplicity 4)
Zn (0.000, 0.000, 0.500) (multiplicity 4)
Hg (0.250, 0.250, 0.750) (multiplicity 4)
Rh (0.250, 0.250, 0.250) (multiplicity 4)

# 3
Material: Dy8Mg2Tl
Method: DFT, PBE
State: optimized geometry

**Formation energy from the elements**: -93 kJ/mol of formula units

Cell: 16.331 5.358 8.571 Å, 90.00 121.07 90.00°
Space group C2/m (No. 12)
Unique sites:
Dy (0.067, 0.000, 0.220) (multiplicity 4)
Dy (0.092, 0.500, 0.954) (multiplicity 4)
Dy (0.137, 0.000, 0.682) (multiplicity 4)
Dy (0.182, 0.500, 0.445) (multiplicity 4)
Mg (0.228, 0.000, 0.114) (multiplicity 4)
Tl (0.000, 0.500, 0.500) (multiplicity 2)

# 4
Material: KCaPbO3
Method: DFT, PBE
State: optimized geometry

**Formation energy from raw total energies**: -10.0 eV/f.u.

Cell: 6.231 3.759 9.136 Å, 90.00 99.28 90.00°
Space group P2_1/m (No. 11)
Unique sites:
K (0.163, 0.250, 0.191) (multiplicity 2)
Ca (0.251, 0.750, 0.528) (multiplicity 2)
Pb (0.339, 0.250, 0.835) (multiplicity 2)
O (0.064, 0.250, 0.641) (multiplicity 2)
O (0.272, 0.750, 0.955) (multiplicity 2)
O (0.476, 0.750, 0.352) (multiplicity 2)

# 5
Material: MnRe2
Method: DFT, PBE
State: optimized geometry

**Formation energy from the elements**: 80 kJ/mol of formula units

Cell: 2.708 2.708 23.115 Å, 90.00 90.00 90.00°
Space group I4_1/amd (No. 141, origin choice 2)
Unique sites:
Mn (0.000, 0.250, 0.375) (multiplicity 4)
Re (0.000, 0.250, 0.800) (multiplicity 8)

# 6
Material: AcSm2Zr
Method: DFT, PBE
State: optimized geometry

**Formation energy from the elements**: 76 kJ/mol of formula units
**Excess energy over the best structure of this formula in the dataset**: 21.1 meV/atom

Cell: 4.081 4.081 7.961 Å, 90.00 90.00 90.00°
Space group P4/mmm (No. 123)
Unique sites:
Ac (0.000, 0.000, 0.000) (multiplicity 1)
Sm (0.500, 0.500, 0.296) (multiplicity 2)
Zr (0.000, 0.000, 0.500) (multiplicity 1)